Record 1
CaRe2Tc | meta-GGA SCAN | PBEsol geometry

For the energy of formation from the pure elements, the calculation gives 556 meV/atom. As for the space group: Cmmm. The total moment comes out at 0.00 μB per atom. For the energy, the calculation gives -184.696 eV for the cell shown.

Cell: 2.6984 2.6984 9.4434 Å, 90.00 90.00 109.75°
With the nearest neighbours (Å) after each atom.
Atoms (fractional coordinates):
Re 0.0000 0.0000 0.2741  2 Tc 2.64, 4 Re 2.70
Re 0.0000 0.0000 0.7259  2 Tc 2.64, 4 Re 2.70
Ca 0.5000 0.5000 0.0000  4 Ca 2.70, 4 Re 3.02
Tc 0.5000 0.5000 0.5000  4 Re 2.64, 4 Tc 2.70



Record 2
CaLa2TiO6 | meta-GGA SCAN | PBEsol geometry

As for the space group: R-3. The total moment comes out at 0.00 μB per atom. The formation energy from raw total energies comes out at -3.59 eV per atom. For the energy, the calculation gives -185.205 eV for the cell shown.

Cell: 5.6593 5.6593 5.6593 Å, 62.05 62.05 62.05°
With the nearest neighbours (Å) after each atom.
Atoms (fractional coordinates):
O 0.8688 0.2106 0.6689  1 Ti 1.97
O 0.7894 0.3311 0.1312  1 Ti 1.97
O 0.1312 0.7894 0.3311  1 Ti 1.97
O 0.2106 0.6689 0.8688  1 Ti 1.97
O 0.6689 0.8688 0.2106  1 Ti 1.97
O 0.3311 0.1312 0.7894  1 Ti 1.97
La 0.2384 0.2384 0.2384  3 O 2.35
La 0.7616 0.7616 0.7616  3 O 2.35
Ca 0.5000 0.5000 0.5000  6 O 2.27
Ti 0.0000 0.0000 0.0000  6 O 1.97



Record 3
Ag2Pt | meta-GGA SCAN | PBEsol geometry

For the energy of formation from the pure elements, the calculation gives 393 meV/atom. As for the space group: Fm-3m. The total moment comes out at 0.00 μB per atom. For the polymorph energy (0 for the lowest one), the calculation gives 1.21 eV/f.u. For the energy, the calculation gives -131.748 eV for the cell shown.

Cell: 4.3408 4.3408 4.3408 Å, 60.00 60.00 60.00°
With the nearest neighbours (Å) after each atom.
Atoms (fractional coordinates):
Ag 0.7500 0.7500 0.7500  4 Pt 2.66
Ag 0.2500 0.2500 0.2500  4 Pt 2.66
Pt 0.0000 0.0000 0.0000  8 Ag 2.66



Record 4
Rb3PbF | meta-GGA SCAN | PBEsol geometry

As for the space group: Pm-3m. The total moment comes out at 0.00 μB per atom. The formation energy from raw total energies comes out at -0.48 eV per atom. For the energy, the calculation gives -143.963 eV for the cell shown.

Cell: 6.8572 6.8572 6.8572 Å, 90.00 90.00 90.00°
With the nearest neighbours (Å) after each atom.
Atoms (fractional coordinates):
Rb 0.0000 0.5000 0.0000  2 Pb 3.43
Rb 0.5000 0.0000 0.0000  2 Pb 3.43
Rb 0.0000 0.0000 0.5000  2 Pb 3.43
Pb 0.0000 0.0000 0.0000  6 Rb 3.43
F 0.5000 0.5000 0.5000  12 Rb 4.85